# Ca3MgTa

A relaxed structure of Ca3MgTa (PBE, Alexandria via LeMat-Bulk).

a b c (Å): 5.664 5.664 5.664
angles (deg): 90.00 90.00 90.00
Space group Pm-3m (No. 221)
Inequivalent atoms, fractional coordinates:
Ca 0.000 0.000 0.500 x3
Mg 0.500 0.500 0.500 x1
Ta 0.000 0.000 0.000 x1

Computed properties:
DOS(E_F)	0.89	states/eV per atom
M_tot	0.0	μB per cell
calculated volume	182	Å³ per cell
energy above the lowest structure with this stoichiometry	0.0000	eV per atom